Here is a geometry-optimized Nd4PCSe2 structure from the Alexandria database. Energies are from GGA-PBE.

Calculated values
Space-group type ... P2/m, No. 10
Raw formation energy ... -1067 kJ/mol of formula units
Raw total energy ... -51.730 eV/cell

```
Nd4PCSe2
1.0
4.056 0.000 0.000
0.000 7.080 0.139
0.000 -2.461 6.831
Nd Se C P
4 2 1 1
Cartesian
0.000 0.026 5.402 Nd
2.028 1.285 1.554 Nd
0.000 4.593 1.568 Nd
2.028 3.334 5.416 Nd
2.028 -1.231 3.416 Se
0.000 2.309 3.485 Se
2.028 3.540 0.069 C
0.000 0.000 0.000 P
```